# PBE Sr3Al2Ga7, optimized geometry
# Crystal system = orthorhombic
# ΔE_f = -0.111 eV per atom
# Uncorrected energy = -0.107 hartree per atom
data_Sr3Al2Ga7
_chemical_formula_sum 'Sr6 Al4 Ga14'
_symmetry_space_group_name_H-M 'C m m m'
_symmetry_Int_Tables_number 65
_symmetry_space_group_name_Hall '-C 2 2'
_cell_length_a 4.5548
_cell_length_b 33.0945
_cell_length_c 4.2085
_cell_angle_alpha 90.00
_cell_angle_beta 90.00
_cell_angle_gamma 90.00
loop_
_atom_site_label
_atom_site_type_symbol
_atom_site_fract_x
_atom_site_fract_y
_atom_site_fract_z
_atom_site_occupancy
Sr1 Sr 0.0000 0.0000 0.0000 1
Sr2 Sr 0.0000 0.1997 0.0000 1
Al1 Al 0.0000 0.4268 0.5000 1
Ga1 Ga 0.0000 0.1189 0.5000 1
Ga2 Ga 0.0000 0.3261 0.5000 1
Ga3 Ga 0.0000 0.3794 0.0000 1
Ga4 Ga 0.0000 0.5000 0.5000 1